Model one:
HfOsPt | PBE | optimized geometry

Lattice parameters (Å, degrees): 6.1868 6.1868 6.1868 90.00 90.00 90.00
Fractional positions:
Hf 0.0000 0.0000 0.0000
Hf 0.0000 0.5000 0.5000
Hf 0.5000 0.0000 0.5000
Hf 0.5000 0.5000 0.0000
Os 0.2500 0.2500 0.2500
Os 0.2500 0.7500 0.7500
Os 0.7500 0.2500 0.7500
Os 0.7500 0.7500 0.2500
Pt 0.0000 0.0000 0.5000
Pt 0.0000 0.5000 0.0000
Pt 0.5000 0.0000 0.0000
Pt 0.5000 0.5000 0.5000

Values from the calculation:
Space group: F-43m, No. 216

Model two:
HfOsPt | PBE | optimized geometry

Lattice parameters (Å, degrees): 6.1544 6.1544 6.1544 90.00 90.00 90.00
Fractional positions:
Hf 0.0000 0.0000 0.0000
Hf 0.0000 0.5000 0.5000
Hf 0.5000 0.0000 0.5000
Hf 0.5000 0.5000 0.0000
Os 0.2500 0.2500 0.7500
Os 0.2500 0.7500 0.2500
Os 0.7500 0.2500 0.2500
Os 0.7500 0.7500 0.7500
Pt 0.2500 0.2500 0.2500
Pt 0.2500 0.7500 0.7500
Pt 0.7500 0.2500 0.7500
Pt 0.7500 0.7500 0.2500

Values from the calculation:
Space group: F-43m, No. 216

model two ends up most stable, edging out the next structure by 12 meV per atom.

Model one:
RbHfOs | PBE | optimized geometry

Lattice parameters (Å, degrees): 6.7146 6.7146 6.7146 90.00 90.00 90.00
Fractional positions:
Rb 0.0000 0.0000 0.0000
Rb 0.0000 0.5000 0.5000
Rb 0.5000 0.0000 0.5000
Rb 0.5000 0.5000 0.0000
Hf 0.0000 0.0000 0.5000
Hf 0.0000 0.5000 0.0000
Hf 0.5000 0.0000 0.0000
Hf 0.5000 0.5000 0.5000
Os 0.2500 0.2500 0.7500
Os 0.2500 0.7500 0.2500
Os 0.7500 0.2500 0.2500
Os 0.7500 0.7500 0.7500

Values from the calculation:
Space group: F-43m, No. 216

Model two:
RbHfOs | PBE | optimized geometry

Lattice parameters (Å, degrees): 6.5622 6.5622 6.5622 90.00 90.00 90.00
Fractional positions:
Rb 0.0000 0.0000 0.0000
Rb 0.0000 0.5000 0.5000
Rb 0.5000 0.0000 0.5000
Rb 0.5000 0.5000 0.0000
Hf 0.2500 0.2500 0.7500
Hf 0.2500 0.7500 0.2500
Hf 0.7500 0.2500 0.2500
Hf 0.7500 0.7500 0.7500
Os 0.2500 0.2500 0.2500
Os 0.2500 0.7500 0.7500
Os 0.7500 0.2500 0.7500
Os 0.7500 0.7500 0.2500

Values from the calculation:
Space group: F-43m, No. 216

model one ends up most stable, edging out the next structure by 1354 meV per atom.

Model one:
HfReOs | PBE | optimized geometry

Lattice parameters (Å, degrees): 6.1570 6.1570 6.1570 90.00 90.00 90.00
Fractional positions:
Hf 0.0000 0.0000 0.0000
Hf 0.0000 0.5000 0.5000
Hf 0.5000 0.0000 0.5000
Hf 0.5000 0.5000 0.0000
Re 0.2500 0.2500 0.2500
Re 0.2500 0.7500 0.7500
Re 0.7500 0.2500 0.7500
Re 0.7500 0.7500 0.2500
Os 0.2500 0.2500 0.7500
Os 0.2500 0.7500 0.2500
Os 0.7500 0.2500 0.2500
Os 0.7500 0.7500 0.7500

Values from the calculation:
Space group: F-43m, No. 216

Model two:
HfReOs | PBE | optimized geometry

Lattice parameters (Å, degrees): 6.1434 6.1434 6.1434 90.00 90.00 90.00
Fractional positions:
Hf 0.0000 0.0000 0.0000
Hf 0.0000 0.5000 0.5000
Hf 0.5000 0.0000 0.5000
Hf 0.5000 0.5000 0.0000
Re 0.0000 0.0000 0.5000
Re 0.0000 0.5000 0.0000
Re 0.5000 0.0000 0.0000
Re 0.5000 0.5000 0.5000
Os 0.2500 0.2500 0.2500
Os 0.2500 0.7500 0.7500
Os 0.7500 0.2500 0.7500
Os 0.7500 0.7500 0.2500

Values from the calculation:
Space group: F-43m, No. 216

model two ends up most stable, edging out the next structure by 812 meV per atom.

Model one:
Tm3Hf3Sb2Os | PBE | optimized geometry

Lattice parameters (Å, degrees): 7.9673 7.9673 3.7982 90.00 90.00 120.00
Fractional positions:
Tm 0.0000 0.2503 0.0000
Tm 0.2503 0.0000 0.0000
Tm 0.7497 0.7497 0.0000
Hf 0.0000 0.6107 0.5000
Hf 0.3893 0.3893 0.5000
Hf 0.6107 0.0000 0.5000
Sb 0.3333 0.6667 0.0000
Sb 0.6667 0.3333 0.0000
Os 0.0000 0.0000 0.5000

Values from the calculation:
Space group: P-62m, No. 189

Model two:
Tm3Hf3Sb2Os | PBE | optimized geometry

Lattice parameters (Å, degrees): 7.8743 7.8743 3.9855 90.00 90.00 120.00
Fractional positions:
Tm 0.0000 0.6037 0.0000
Tm 0.3963 0.3963 0.0000
Tm 0.6037 0.0000 0.0000
Hf 0.0000 0.2335 0.5000
Hf 0.2335 0.0000 0.5000
Hf 0.7665 0.7665 0.5000
Sb 0.3333 0.6667 0.5000
Sb 0.6667 0.3333 0.5000
Os 0.0000 0.0000 0.0000

Values from the calculation:
Space group: P-62m, No. 189

model two ends up most stable, edging out the next structure by 237 meV per atom.

Model one:
SrHfOs | PBE | optimized geometry

Lattice parameters (Å, degrees): 6.6994 6.6994 6.6994 90.00 90.00 90.00
Fractional positions:
Sr 0.0000 0.0000 0.0000
Sr 0.0000 0.5000 0.5000
Sr 0.5000 0.0000 0.5000
Sr 0.5000 0.5000 0.0000
Hf 0.0000 0.0000 0.5000
Hf 0.0000 0.5000 0.0000
Hf 0.5000 0.0000 0.0000
Hf 0.5000 0.5000 0.5000
Os 0.2500 0.2500 0.7500
Os 0.2500 0.7500 0.2500
Os 0.7500 0.2500 0.2500
Os 0.7500 0.7500 0.7500

Values from the calculation:
Space group: F-43m, No. 216

Model two:
SrHfOs | PBE | optimized geometry

Lattice parameters (Å, degrees): 6.6403 6.6403 6.6403 90.00 90.00 90.00
Fractional positions:
Sr 0.0000 0.0000 0.0000
Sr 0.0000 0.5000 0.5000
Sr 0.5000 0.0000 0.5000
Sr 0.5000 0.5000 0.0000
Hf 0.2500 0.2500 0.7500
Hf 0.2500 0.7500 0.2500
Hf 0.7500 0.2500 0.2500
Hf 0.7500 0.7500 0.7500
Os 0.2500 0.2500 0.2500
Os 0.2500 0.7500 0.7500
Os 0.7500 0.2500 0.7500
Os 0.7500 0.7500 0.2500

Values from the calculation:
Space group: F-43m, No. 216

model one ends up most stable, edging out the next structure by 1454 meV per atom.